First-principles (PBE) data for a geometry-optimized Pr15HoTm4 structure, as listed in the Alexandria database.

abc: 5.1791 5.1791 25.7866
angles: 90.00 90.00 90.00
With the nearest neighbours (Å) after each atom.
Positions (direct):
Pr  0.0000  0.0000  0.0000  8 Pr 3.66, 4 Ho 3.66
Pr  0.0000  0.0000  0.2002  8 Pr 3.65, 4 Tm 3.66
Pr  0.0000  0.0000  0.4000  8 Pr 3.65, 4 Tm 3.66
Pr  0.0000  0.0000  0.6000  8 Pr 3.65, 4 Tm 3.66
Pr  0.0000  0.0000  0.7998  8 Pr 3.65, 4 Tm 3.66
Pr  0.0000  0.5000  0.1004  8 Pr 3.65-3.66, 2 Tm 3.65, 2 Ho 3.66
Pr  0.0000  0.5000  0.3001  4 Tm 3.65, 8 Pr 3.65-3.66
Pr  0.0000  0.5000  0.5000  8 Pr 3.65-3.66, 4 Tm 3.65
Pr  0.0000  0.5000  0.6999  4 Tm 3.65, 8 Pr 3.65-3.66
Pr  0.0000  0.5000  0.8996  8 Pr 3.65-3.66, 2 Tm 3.65, 2 Ho 3.66
Pr  0.5000  0.0000  0.1004  8 Pr 3.65-3.66, 2 Tm 3.65, 2 Ho 3.66
Pr  0.5000  0.0000  0.3001  4 Tm 3.65, 8 Pr 3.65-3.66
Pr  0.5000  0.0000  0.5000  8 Pr 3.65-3.66, 4 Tm 3.65
Pr  0.5000  0.0000  0.6999  4 Tm 3.65, 8 Pr 3.65-3.66
Pr  0.5000  0.0000  0.8996  8 Pr 3.65-3.66, 2 Tm 3.65, 2 Ho 3.66
Ho  0.5000  0.5000  0.0000  12 Pr 3.66
Tm  0.5000  0.5000  0.2002  12 Pr 3.65-3.66
Tm  0.5000  0.5000  0.4000  12 Pr 3.65-3.66
Tm  0.5000  0.5000  0.6000  12 Pr 3.65-3.66
Tm  0.5000  0.5000  0.7998  12 Pr 3.65-3.66

* energy relative to the elements: 0.008 eV/atom
* M_tot: 0.000 μB per atom
* SG: P4/mmm

***

First-principles (PBE) data for a geometry-optimized SnCl3 structure, as listed in the Alexandria database.

abc: 5.0631 5.0631 5.0631
angles: 60.00 60.00 60.00
With the nearest neighbours (Å) after each atom.
Positions (direct):
Sn  0.0000  0.0000  0.0000  8 Cl 3.10
Cl  0.2500  0.2500  0.2500  4 Cl 3.10, 4 Sn 3.10
Cl  0.5000  0.5000  0.5000  8 Cl 3.10
Cl  0.7500  0.7500  0.7500  4 Cl 3.10, 4 Sn 3.10

* M_tot: 0.000 μB per atom
* ΔE_f (raw): -1.4 eV per formula unit
* SG: Fm-3m

***

First-principles (PBE) data for a geometry-optimized Cs4Pm3MnTe8 structure, as listed in the Alexandria database.

abc: 10.3559 10.3559 10.3559
angles: 52.41 52.41 52.41
With the nearest neighbours (Å) after each atom.
Positions (direct):
Cs  0.0000  0.0000  0.0000  6 Te 3.98
Cs  0.0000  0.5000  0.5000  6 Te 3.78-3.81
Cs  0.5000  0.0000  0.5000  6 Te 3.78-3.81
Cs  0.5000  0.5000  0.0000  6 Te 3.78-3.81
Pm  0.0000  0.0000  0.5000  6 Te 3.17-3.18
Pm  0.0000  0.5000  0.0000  6 Te 3.17-3.18
Pm  0.5000  0.0000  0.0000  6 Te 3.17-3.18
Mn  0.5000  0.5000  0.5000  6 Te 2.96
Te  0.2323  0.2323  0.2323  3 Pm 3.17
Te  0.2497  0.7170  0.7170  1 Mn 2.96, 2 Pm 3.18
Te  0.2830  0.2830  0.7503  1 Mn 2.96, 2 Pm 3.18
Te  0.2830  0.7503  0.2830  1 Mn 2.96, 2 Pm 3.18
Te  0.7170  0.2497  0.7170  1 Mn 2.96, 2 Pm 3.18
Te  0.7170  0.7170  0.2497  1 Mn 2.96, 2 Pm 3.18
Te  0.7503  0.2830  0.2830  1 Mn 2.96, 2 Pm 3.18
Te  0.7677  0.7677  0.7677  3 Pm 3.17

* M_tot: 0.251 μB per atom
* ΔE_f (raw): -18.1 eV per formula unit
* SG: R-3m

***

First-principles (PBE) data for a geometry-optimized AlZn2CdNi structure, as listed in the Alexandria database.

abc: 4.8839 4.8839 4.8497
angles: 90.00 90.00 90.00
With the nearest neighbours (Å) after each atom.
Positions (direct):
Al  0.0000  0.0000  0.0000  8 Zn 3.44, 4 Ni 3.45
Zn  0.0000  0.5000  0.5000  2 Cd 2.44
Zn  0.5000  0.0000  0.5000  2 Cd 2.44
Cd  0.5000  0.5000  0.5000  2 Ni 2.42, 4 Zn 2.44
Ni  0.5000  0.5000  0.0000  2 Cd 2.42

* energy relative to the elements: 0.864 eV/atom
* M_tot: 0.000 μB per atom
* SG: P4/mmm

***

First-principles (PBE) data for a geometry-optimized Ba4ScAl structure, as listed in the Alexandria database.

abc: 7.2418 7.2418 7.2418
angles: 60.00 60.00 60.00
With the nearest neighbours (Å) after each atom.
Positions (direct):
Ba  0.1253  0.1253  0.1253  6 Ba 3.61-3.63
Ba  0.1253  0.1253  0.6240  6 Ba 3.61-3.63
Ba  0.1253  0.6240  0.1253  6 Ba 3.61-3.63
Ba  0.6240  0.1253  0.1253  6 Ba 3.61-3.63
Sc  0.7500  0.7500  0.7500  12 Ba 4.25, 4 Al 4.43
Al  0.5000  0.5000  0.5000  12 Ba 4.24, 4 Sc 4.43

* energy relative to the elements: 0.647 eV/atom
* M_tot: 0.343 μB per atom
* SG: F-43m

***

First-principles (PBE) data for a geometry-optimized Tm6IrSe3S2 structure, as listed in the Alexandria database.

abc: 8.9933 8.9933 8.0878
angles: 103.51 103.51 25.20
With the nearest neighbours (Å) after each atom.
Positions (direct):
Tm  0.0025  0.0025  0.2293  2 Ir 2.69, 1 S 2.86, 3 Se 2.95-2.98
Tm  0.3301  0.3301  0.4289  3 S 2.72-2.73, 3 Se 2.86-2.90
Tm  0.3402  0.3402  0.9088  1 Ir 2.72, 2 S 2.78, 3 Se 2.87-2.93
Tm  0.6598  0.6598  0.0912  1 Ir 2.72, 2 S 2.78, 3 Se 2.87-2.93
Tm  0.6699  0.6699  0.5711  3 S 2.72-2.73, 3 Se 2.86-2.90
Tm  0.9975  0.9975  0.7707  2 Ir 2.69, 1 S 2.86, 3 Se 2.95-2.98
Ir  0.5000  0.5000  0.0000  6 Tm 2.69-2.72
Se  0.1717  0.1717  0.8286  6 Tm 2.86-2.98
Se  0.5000  0.5000  0.5000  6 Tm 2.90-2.95
Se  0.8283  0.8283  0.1714  6 Tm 2.86-2.98
S  0.1702  0.1702  0.3389  6 Tm 2.72-2.86
S  0.8298  0.8298  0.6611  6 Tm 2.72-2.86

* M_tot: 0.000 μB per atom
* ΔE_f (raw): -19.7 eV per formula unit
* SG: C2/m

***

First-principles (PBE) data for a geometry-optimized Ti8SnN2 structure, as listed in the Alexandria database.

abc: 7.4859 7.4859 7.4859
angles: 144.31 137.88 56.37
With the nearest neighbours (Å) after each atom.
Positions (direct):
Ti  0.1192  0.1192  0.0000  1 N 2.00
Ti  0.1612  0.3985  0.7627  1 N 2.12
Ti  0.2719  0.7719  0.5000  2 N 2.29
Ti  0.3641  0.6015  0.7627  1 N 2.12
Ti  0.6359  0.3985  0.2373  1 N 2.12
Ti  0.7281  0.2281  0.5000  2 N 2.29
Ti  0.8388  0.6015  0.2373  1 N 2.12
Ti  0.8808  0.8808  0.0000  1 N 2.00
Sn  0.5000  0.0000  0.5000  14 Ti 2.95-3.12
N  0.2704  0.2704  0.0000  3 Ti 2.00-2.12
N  0.7296  0.7296  0.0000  3 Ti 2.00-2.12

* M_tot: 0.000 μB per atom
* ΔE_f (raw): -5.0 eV per formula unit
* SG: Immm

***

First-principles (PBE) data for a geometry-optimized PSe2IBr structure, as listed in the Alexandria database.

abc: 5.4556 5.4556 5.6970
angles: 90.00 90.00 90.00
With the nearest neighbours (Å) after each atom.
Positions (direct):
P  0.0000  0.0000  0.0000  4 Br 3.86, 8 Se 3.94
Se  0.0000  0.5000  0.5000  2 I 2.73
Se  0.5000  0.0000  0.5000  2 I 2.73
I  0.5000  0.5000  0.5000  4 Se 2.73, 2 Br 2.85
Br  0.5000  0.5000  0.0000  2 I 2.85

* offset from the most stable computed form: 728 meV per atom
* M_tot: 0.323 μB per atom
* ΔE_f (raw): 5.8 eV per formula unit
* SG: P4/mmm

***

Number 1: N(E_F) 25.14 states/eV/cell. Number 2: N(E_F) 5.21 states/eV/cell. Number 3: N(E_F) 4.86 states/eV/cell. Number 4: N(E_F) 3.10 states/eV/cell. Number 5: N(E_F) 9.36 states/eV/cell. Number 6: N(E_F) 4.90 states/eV/cell. Number 7: N(E_F) 10.44 states/eV/cell. Number 8: N(E_F) 5.13 states/eV/cell.